(1)
# AcLaZr (GGA-PBE, relaxed)
# calculated formation energy = 1.14 eV per formula unit
# energy above the most stable polymorph in this dataset = 0.188 eV/atom
data_AcLaZr
_chemical_formula_sum 'Ac4 La4 Zr4'
_cell_length_a 14.338
_cell_length_b 3.430
_cell_length_c 8.986
_cell_angle_alpha 90.00
_cell_angle_beta 105.58
_cell_angle_gamma 90.00
_symmetry_space_group_name_H-M 'C 1 2/m 1'
_symmetry_Int_Tables_number 12
loop_
_symmetry_equiv_pos_as_xyz
'x,y,z'
'-x,-y,-z'
'-x,y,-z'
'x,-y,z'
'x+1/2,y+1/2,z'
'-x+1/2,-y+1/2,-z'
'-x+1/2,y+1/2,-z'
'x+1/2,-y+1/2,z'
loop_
_atom_site_label
_atom_site_type_symbol
_atom_site_fract_x
_atom_site_fract_y
_atom_site_fract_z
Ac1 Ac 0.200 0.000 0.168
La1 La 0.048 0.000 0.776
Zr1 Zr 0.162 0.000 0.512

***

(2)
# Na3Tl3SnO8 (GGA-PBE, relaxed)
# formation energy from raw total energies = -1.192 eV per atom
data_Na3Tl3SnO8
_chemical_formula_sum 'Na9 Tl9 Sn3 O24'
_cell_length_a 6.7386
_cell_length_b 6.7386
_cell_length_c 16.9224
_cell_angle_alpha 90.00
_cell_angle_beta 90.00
_cell_angle_gamma 120.00
_symmetry_space_group_name_H-M 'R -3 m'
_symmetry_Int_Tables_number 166
_symmetry_space_group_name_Hall '-R 3 2"'
loop_
_atom_site_label
_atom_site_type_symbol
_atom_site_fract_x
_atom_site_fract_y
_atom_site_fract_z
Na1 Na 0.0000 0.5000 0.0000
Tl1 Tl 0.0000 0.5000 0.5000
Sn1 Sn 0.0000 0.0000 0.5000
O1 O 0.0000 0.0000 0.2399
O2 O 0.0300 0.5150 0.2359

***

(3)
# Ac3Cu2S6 (GGA-PBE, relaxed)
# formation energy from raw total energies = -1.533 eV per atom
data_Ac3Cu2S6
_chemical_formula_sum 'Ac6 Cu4 S12'
_cell_length_a 4.639
_cell_length_b 4.639
_cell_length_c 23.747
_cell_angle_alpha 90.00
_cell_angle_beta 90.00
_cell_angle_gamma 90.00
_symmetry_space_group_name_H-M 'I 4/m m m'
_symmetry_Int_Tables_number 139
_symmetry_space_group_name_Hall '-I 4 2'
loop_
_atom_site_label
_atom_site_type_symbol
_atom_site_fract_x
_atom_site_fract_y
_atom_site_fract_z
Ac1 Ac 0.000 0.000 0.000
Ac2 Ac 0.000 0.000 0.173
Cu1 Cu 0.000 0.000 0.401
S1 S 0.000 0.000 0.297
S2 S 0.000 0.500 0.083

***

(4)
# CaFe2As (GGA-PBE, relaxed)
# calculated formation energy = -0.98 eV per formula unit
data_CaFe2As
_chemical_formula_sum 'Ca3 Fe6 As3'
_cell_length_a 3.9892
_cell_length_b 3.9892
_cell_length_c 15.7877
_cell_angle_alpha 90.00
_cell_angle_beta 90.00
_cell_angle_gamma 120.00
_symmetry_space_group_name_H-M 'R 3 m'
_symmetry_Int_Tables_number 160
_symmetry_space_group_name_Hall 'R 3 -2"'
loop_
_atom_site_label
_atom_site_type_symbol
_atom_site_fract_x
_atom_site_fract_y
_atom_site_fract_z
Ca1 Ca 0.0000 0.0000 0.0000
Fe1 Fe 0.0000 0.0000 0.1995
Fe2 Fe 0.0000 0.0000 0.5242
As1 As 0.0000 0.0000 0.8014

***

(5)
# Lu2MgMn (GGA-PBE, relaxed)
# calculated formation energy = 0.39 eV per formula unit
# energy above the most stable polymorph in this dataset = 0.092 eV/atom
data_Lu2MgMn
_chemical_formula_sum 'Lu2 Mg1 Mn1'
_cell_length_a 5.048
_cell_length_b 5.048
_cell_length_c 3.647
_cell_angle_alpha 90.00
_cell_angle_beta 90.00
_cell_angle_gamma 90.00
_symmetry_space_group_name_H-M 'P 4/m m m'
_symmetry_Int_Tables_number 123
_symmetry_space_group_name_Hall '-P 4 2'
loop_
_atom_site_label
_atom_site_type_symbol
_atom_site_fract_x
_atom_site_fract_y
_atom_site_fract_z
Lu1 Lu 0.000 0.500 0.000
Mg1 Mg 0.000 0.000 0.500
Mn1 Mn 0.500 0.500 0.500

***

(6)
# CuBTe2N (GGA-PBE, relaxed)
# energy above the most stable polymorph in this dataset = 0.000 eV/atom
# formation energy from raw total energies = 0.346 eV per atom
data_CuBTe2N
_chemical_formula_sum 'Cu1 B1 Te2 N1'
_cell_length_a 6.079
_cell_length_b 6.079
_cell_length_c 2.720
_cell_angle_alpha 90.00
_cell_angle_beta 90.00
_cell_angle_gamma 90.00
_symmetry_space_group_name_H-M 'P 4/m m m'
_symmetry_Int_Tables_number 123
_symmetry_space_group_name_Hall '-P 4 2'
loop_
_atom_site_label
_atom_site_type_symbol
_atom_site_fract_x
_atom_site_fract_y
_atom_site_fract_z
Cu1 Cu 0.000 0.000 0.000
B1 B 0.500 0.500 0.500
Te1 Te 0.000 0.500 0.500
N1 N 0.500 0.500 0.000

***

(7)
# MgCd2Fe (GGA-PBE, relaxed)
# calculated formation energy = 1.79 eV per formula unit
data_MgCd2Fe
_chemical_formula_sum 'Mg4 Cd8 Fe4'
_cell_length_a 4.109
_cell_length_b 4.109
_cell_length_c 19.764
_cell_angle_alpha 90.00
_cell_angle_beta 90.00
_cell_angle_gamma 90.00
_symmetry_space_group_name_H-M 'I -4 2 d'
_symmetry_Int_Tables_number 122
_symmetry_space_group_name_Hall 'I -4 2bw'
loop_
_atom_site_label
_atom_site_type_symbol
_atom_site_fract_x
_atom_site_fract_y
_atom_site_fract_z
Mg1 Mg 0.000 0.000 0.000
Cd1 Cd 0.239 0.250 0.625
Fe1 Fe 0.000 0.000 0.500

***

(8)
# Sc2InH (GGA-PBE, relaxed)
# energy above the most stable polymorph in this dataset = 0.361 eV/atom
data_Sc2InH
_chemical_formula_sum 'Sc2 In1 H1'
_cell_length_a 3.097
_cell_length_b 3.097
_cell_length_c 7.302
_cell_angle_alpha 90.00
_cell_angle_beta 90.00
_cell_angle_gamma 90.00
_symmetry_space_group_name_H-M 'P 4/m m m'
_symmetry_Int_Tables_number 123
_symmetry_space_group_name_Hall '-P 4 2'
loop_
_atom_site_label
_atom_site_type_symbol
_atom_site_fract_x
_atom_site_fract_y
_atom_site_fract_z
Sc1 Sc 0.000 0.000 0.197
In1 In 0.500 0.500 0.500
H1 H 0.500 0.500 0.000

***

no.,E_tot (eV/atom)
1,-5.48
2,-4.84
3,-5.65
4,-6.14
5,-4.85
6,-4.73
7,-2.53
8,-4.75